# 1
Compound: Zr2TlTe
Source: Alexandria via LeMat-Bulk
Functional: PBE-GGA
Structure: optimized geometry

Values from the calculation:
The calculation puts the density of states at the Fermi level at 0.635 states/eV per atom. For the total energy, the calculation gives -6.00 eV per atom. For the uncorrected formation energy, the calculation gives -0.350 eV/atom. The calculation puts the total magnetization at 0.0 Bohr magnetons per cell.

abc: 3.4586 3.4586 7.7203
angles: 90.00 90.00 90.00
Positions (direct):
1 Te 0.5000 0.5000 0.2500
2 Tl 0.5000 0.5000 0.7500
3 Zr 0.0000 0.0000 0.0215
4 Zr 0.0000 0.0000 0.4785

***

# 2
Compound: Zr2InTc
Source: Alexandria via LeMat-Bulk
Functional: PBE-GGA
Structure: optimized geometry

Values from the calculation:
As for the formation enthalpy at 0 K: -8.1 kJ/mol of atoms. The calculation puts the density of states at the Fermi level at 0.504 states/eV per atom. For the total energy, the calculation gives -7.63 eV per atom. The calculation puts the total magnetization at 0.0 Bohr magnetons per cell.

abc: 4.7968 4.7968 4.7968
angles: 60.00 60.00 60.00
Positions (direct):
1 In 0.5000 0.5000 0.5000
2 Tc 0.2500 0.2500 0.2500
3 Zr 0.0000 0.0000 0.0000
4 Zr 0.7500 0.7500 0.7500

***

# 3
Compound: PrDy4Cd
Source: Alexandria via LeMat-Bulk
Functional: PBE-GGA
Structure: optimized geometry

Values from the calculation:
As for the formation enthalpy at 0 K: 0.3 kJ/mol of atoms. The calculation puts the density of states at the Fermi level at 1.398 states/eV per atom. For the total energy, the calculation gives -4.01 eV per atom. The calculation puts the total magnetization at 0.0 Bohr magnetons per cell.

abc: 6.3234 8.9736 8.3520
angles: 113.04 99.88 112.65
Positions (direct):
1 Pr 0.3401 0.5901 0.1802
2 Pr 0.6599 0.4099 0.8198
3 Dy 0.0353 0.1592 0.7544
4 Dy 0.7563 0.7124 0.6207
5 Dy 0.2191 0.5952 0.7544
6 Dy 0.3644 0.9083 0.6207
7 Dy 0.6356 0.0917 0.3793
8 Dy 0.7809 0.4048 0.2456
9 Dy 0.2437 0.2876 0.3793
10 Dy 0.9647 0.8408 0.2456
11 Cd 0.2505 0.0005 0.0010
12 Cd 0.7495 0.9995 0.9990

***

# 4
Compound: EuGd2Ho
Source: Alexandria via LeMat-Bulk
Functional: PBE-GGA
Structure: optimized geometry

Values from the calculation:
As for the formation enthalpy at 0 K: 4.3 kJ/mol of atoms. The calculation puts the density of states at the Fermi level at 1.528 states/eV per atom. For the total energy, the calculation gives -10.71 eV per atom. The calculation puts the total magnetization at 22.4 Bohr magnetons per cell.

abc: 3.6219 3.6219 10.3011
angles: 90.00 90.00 90.00
Each line ends with the local moment (μB).
Positions (direct):
1 Eu 0.5000 0.5000 0.5000  6.97
2 Gd 0.0000 0.0000 0.7663  7.24
3 Gd 0.0000 0.0000 0.2337  7.24
4 Ho 0.5000 0.5000 0.0000  -0.09

***

# 5
Compound: LaZr2HgW
Source: Alexandria via LeMat-Bulk
Functional: PBE-GGA
Structure: optimized geometry

Values from the calculation:
As for the formation enthalpy at 0 K: 153.7 kJ/mol of atoms. The calculation puts the density of states at the Fermi level at 1.591 states/eV per atom. For the total energy, the calculation gives -5.46 eV per atom. The calculation puts the total magnetization at 2.7 Bohr magnetons per cell.

abc: 5.2317 5.7107 5.2317
angles: 90.00 90.00 90.00
Each line ends with the local moment (μB).
Positions (direct):
1 Zr 0.0000 0.0000 0.5000  -0.11
2 Zr 0.5000 0.0000 0.0000  -0.21
3 Hg 0.0000 0.0000 0.0000  0.02
4 W 0.5000 0.5000 0.5000  2.31
5 La 0.0000 0.5000 0.0000  0.03

***

# 6
Compound: Mn2AgSe
Source: Alexandria via LeMat-Bulk
Functional: PBE-GGA
Structure: optimized geometry

Values from the calculation:
The calculation puts the density of states at the Fermi level at 0.690 states/eV per atom. For the total energy, the calculation gives -6.01 eV per atom. For the uncorrected formation energy, the calculation gives 0.163 eV/atom. The calculation puts the total magnetization at 8.1 Bohr magnetons per cell.

abc: 3.3914 3.3914 5.8909
angles: 90.00 90.00 89.99
Each line ends with the local moment (μB).
Positions (direct):
1 Ag 0.5000 0.5000 0.7500  0.03
2 Mn 0.0000 0.0000 0.0096  3.82
3 Mn 0.0000 0.0000 0.4904  3.82
4 Se 0.5000 0.5000 0.2500  0.02

***

# 7
Compound: EuPuAsPt
Source: Alexandria via LeMat-Bulk
Functional: PBE-GGA
Structure: optimized geometry

Values from the calculation:
As for the formation enthalpy at 0 K: -78.3 kJ/mol of atoms. The calculation puts the density of states at the Fermi level at 5.635 states/eV per atom. For the total energy, the calculation gives -9.64 eV per atom. The calculation puts the total magnetization at 1.6 Bohr magnetons per cell.

abc: 5.0876 5.0876 5.0876
angles: 60.00 60.00 60.00
Each line ends with the local moment (μB).
Positions (direct):
1 Eu 0.5000 0.5000 0.5000  6.72
2 As 0.7500 0.7500 0.7500  0.04
3 Pt 0.2500 0.2500 0.2500  0.07
4 Pu 0.0000 0.0000 0.0000  -5.24

***

# 8
Compound: ZrAlSe2
Source: Alexandria via LeMat-Bulk
Functional: PBE-GGA
Structure: optimized geometry

Values from the calculation:
The calculation puts the density of states at the Fermi level at 0.612 states/eV per atom. For the total energy, the calculation gives -5.50 eV per atom. For the uncorrected formation energy, the calculation gives -0.687 eV/atom. The calculation puts the total magnetization at 0.7 Bohr magnetons per cell.

abc: 8.8210 8.8210 8.8210
angles: 24.09 24.09 24.09
Each line ends with the local moment (μB).
Positions (direct):
1 Se 0.0265 0.0265 0.0265  0.03
2 Se 0.2292 0.2292 0.2292  -0.01
3 Zr 0.5014 0.5014 0.5014  0.36
4 Al 0.7429 0.7429 0.7429  -0.01

***

# 9
Compound: PmDy8Ho3
Source: Alexandria via LeMat-Bulk
Functional: PBE-GGA
Structure: optimized geometry

Values from the calculation:
As for the formation enthalpy at 0 K: 63.5 kJ/mol of atoms. The calculation puts the density of states at the Fermi level at 1.512 states/eV per atom. For the total energy, the calculation gives -3.95 eV per atom. The calculation puts the total magnetization at 0.0 Bohr magnetons per cell.

abc: 8.3359 8.3359 8.3359
angles: 94.38 117.50 117.50
Positions (direct):
1 Pm 0.0000 0.0000 0.0000
2 Dy 0.5074 0.2611 0.2611
3 Dy 0.4926 0.7537 0.7537
4 Dy 0.0000 0.7389 0.2463
5 Dy 0.0000 0.2463 0.7389
6 Dy 0.2523 0.3793 0.3793
7 Dy 0.7477 0.1270 0.1270
8 Dy 0.0000 0.6207 0.8730
9 Dy 0.0000 0.8730 0.6207
10 Ho 0.5000 0.7500 0.2500
11 Ho 0.5000 0.2500 0.7500
12 Ho 0.0000 0.5000 0.5000

***

# 10
Compound: TiNi3Ir
Source: Alexandria via LeMat-Bulk
Functional: PBE-GGA
Structure: optimized geometry

Values from the calculation:
As for the formation enthalpy at 0 K: 102.1 kJ/mol of atoms. The calculation puts the density of states at the Fermi level at 0.822 states/eV per atom. For the total energy, the calculation gives -5.76 eV per atom. The calculation puts the total magnetization at 0.0 Bohr magnetons per cell.

abc: 4.1869 4.1869 4.1869
angles: 90.00 90.00 90.00
Positions (direct):
1 Ni 0.0000 0.5000 0.0000
2 Ni 0.0000 0.0000 0.5000
3 Ni 0.5000 0.0000 0.0000
4 Ir 0.5000 0.5000 0.5000
5 Ti 0.0000 0.0000 0.0000

***

# 11
Compound: NdDyTe3
Source: Alexandria via LeMat-Bulk
Functional: PBE-GGA
Structure: optimized geometry

Values from the calculation:
The calculation puts the density of states at the Fermi level at 0.064 states/eV per atom. For the total energy, the calculation gives -5.18 eV per atom. For the uncorrected formation energy, the calculation gives -1.417 eV/atom. The calculation puts the total magnetization at 0.0 Bohr magnetons per cell.

abc: 4.4085 8.2944 17.4247
angles: 90.00 90.00 90.00
Positions (direct):
1 Nd 0.7500 0.8651 0.7996
2 Nd 0.2500 0.1349 0.2004
3 Nd 0.7500 0.3651 0.7004
4 Nd 0.2500 0.6349 0.2996
5 Dy 0.2500 0.2721 0.9584
6 Dy 0.2500 0.7721 0.5416
7 Dy 0.7500 0.2279 0.4584
8 Dy 0.7500 0.7279 0.0416
9 Te 0.2500 0.3824 0.5633
10 Te 0.7500 0.8437 0.2145
11 Te 0.7500 0.4957 0.8933
12 Te 0.7500 0.9957 0.6067
13 Te 0.7500 0.6176 0.4367
14 Te 0.2500 0.0043 0.3933
15 Te 0.2500 0.8824 0.9367
16 Te 0.7500 0.3437 0.2855
17 Te 0.2500 0.6563 0.7145
18 Te 0.2500 0.1563 0.7855
19 Te 0.7500 0.1176 0.0633
20 Te 0.2500 0.5043 0.1067

***

# 12
Compound: Y16Tm7Th6
Source: Alexandria via LeMat-Bulk
Functional: PBE-GGA
Structure: optimized geometry

Values from the calculation:
As for the formation enthalpy at 0 K: 30.0 kJ/mol of atoms. The calculation puts the density of states at the Fermi level at 1.844 states/eV per atom. For the total energy, the calculation gives -5.87 eV per atom. The calculation puts the total magnetization at 0.0 Bohr magnetons per cell.

abc: 11.0651 11.0651 11.0651
angles: 60.00 60.00 60.00
Positions (direct):
1 Y 0.8811 0.8811 0.3566
2 Y 0.8811 0.8811 0.8811
3 Y 0.8811 0.3566 0.8811
4 Y 0.3566 0.8811 0.8811
5 Y 0.1189 0.1189 0.1189
6 Y 0.1189 0.1189 0.6434
7 Y 0.1189 0.6434 0.1189
8 Y 0.6434 0.1189 0.1189
9 Y 0.6589 0.6589 0.0232
10 Y 0.6589 0.6589 0.6589
11 Y 0.6589 0.0232 0.6589
12 Y 0.0232 0.6589 0.6589
13 Y 0.3411 0.3411 0.3411
14 Y 0.3411 0.3411 0.9768
15 Y 0.3411 0.9768 0.3411
16 Y 0.9768 0.3411 0.3411
17 Tm 0.0000 0.0000 0.0000
18 Tm 0.5000 0.0000 0.5000
19 Tm 0.0000 0.5000 0.0000
20 Tm 0.0000 0.5000 0.5000
21 Tm 0.5000 0.0000 0.0000
22 Tm 0.0000 0.0000 0.5000
23 Tm 0.5000 0.5000 0.0000
24 Th 0.3311 0.6689 0.3311
25 Th 0.6689 0.3311 0.6689
26 Th 0.6689 0.3311 0.3311
27 Th 0.3311 0.6689 0.6689
28 Th 0.6689 0.6689 0.3311
29 Th 0.3311 0.3311 0.6689